A.
PmNdEr2 (PBE, relaxed); magnetic moment = 0.000 Bohr magnetons per cell
1.0
5.0098 0.0000 0.0000
0.0000 5.0979 0.0000
0.0000 0.0000 5.0979
Pm Nd Er
1 1 2
direct
0.5000 0.5000 0.5000 Pm
0.5000 0.0000 0.0000 Nd
0.0000 0.0000 0.5000 Er
0.0000 0.5000 0.0000 Er

B.
PmNdEr2 (PBE, relaxed); magnetic moment = 0.000 Bohr magnetons per cell
1.0
-5.0208 2.5134 1.0379
-3.8041 -2.5281 3.4264
-1.0863 2.1837 5.1627
Er Nd Pm
2 1 1
direct
0.2500 0.2500 0.2500 Er
0.7500 0.7500 0.7500 Er
0.0000 0.0000 0.0000 Nd
0.5000 0.5000 0.5000 Pm

Most stable: A

A.
KPt3 (PBE, relaxed); magnetic moment = 0.000 Bohr magnetons per cell
1.0
3.2673 -5.6591 0.0000
3.2673 5.6591 0.0000
0.0000 0.0000 4.5659
K Pt
2 6
direct
0.3333 0.6667 0.2500 K
0.6667 0.3333 0.7500 K
0.1382 0.2765 0.7500 Pt
0.1382 0.8618 0.7500 Pt
0.2765 0.1382 0.2500 Pt
0.8618 0.1382 0.2500 Pt
0.8618 0.7235 0.2500 Pt
0.7235 0.8618 0.7500 Pt

B.
KPt3 (PBE, relaxed); magnetic moment = 0.000 Bohr magnetons per cell
1.0
4.9567 -3.2939 0.0000
4.9567 3.2939 0.0000
0.0000 0.0000 4.5650
K Pt
2 6
direct
0.4357 0.4357 0.2500 K
0.5643 0.5643 0.7500 K
0.6127 0.0195 0.7500 Pt
0.0849 0.0849 0.7500 Pt
0.9805 0.3873 0.2500 Pt
0.0195 0.6127 0.7500 Pt
0.9151 0.9151 0.2500 Pt
0.3873 0.9805 0.2500 Pt

Most stable: B

A.
PrSmLu2 (PBE, relaxed); magnetic moment = 0.000 Bohr magnetons per cell
1.0
5.6781 0.0000 0.0000
2.8391 4.9174 0.0000
2.8391 1.6391 4.6362
Pr Lu Sm
1 2 1
direct
0.0000 0.0000 0.0000 Pr
0.2500 0.2500 0.2500 Lu
0.7500 0.7500 0.7500 Lu
0.5000 0.5000 0.5000 Sm

B.
PrSmLu2 (PBE, relaxed); magnetic moment = 0.002 Bohr magnetons per cell
1.0
-4.6189 -1.1860 -1.2834
-0.1824 -3.3915 3.7903
-1.7916 3.5925 3.1282
Pr Lu Sm
1 2 1
direct
0.5000 0.5000 0.5000 Pr
0.0000 0.0000 0.5000 Lu
0.0000 0.5000 0.0000 Lu
0.5000 0.0000 0.0000 Sm

Most stable: B

A.
TcMo (PBE, relaxed); magnetic moment = 0.000 Bohr magnetons per cell
1.0
2.7300 0.0000 0.0000
0.0000 2.7300 0.0000
0.0000 0.0000 8.2696
Mo Tc
2 2
direct
0.2500 0.2500 0.1363 Mo
0.7500 0.7500 0.8637 Mo
0.2500 0.2500 0.6102 Tc
0.7500 0.7500 0.3898 Tc

B.
TcMo (PBE, relaxed); magnetic moment = 0.000 Bohr magnetons per cell
1.0
2.7221 0.0000 0.0043
0.0000 4.4063 0.0000
-0.9883 0.0000 5.0962
Tc Mo
2 2
direct
0.6602 0.2500 0.3708 Tc
0.3398 0.7500 0.6292 Tc
0.1107 0.2500 0.8698 Mo
0.8893 0.7500 0.1302 Mo

Most stable: B